# TlIn2Cu

TlIn2Cu after structural relaxation (PBE-GGA, the Alexandria database).

The structure belongs to space group Cmmm (No. 65); the cell edges are 6.121, 9.051 and 3.462 Å and the angles 90.00°, 90.00° and 90.00°. The distinct sites, in fractional coordinates, are Tl at (0.000, 0.000, 0.000), In at (0.250, 0.250, 0.500) and Cu at (0.000, 0.500, 0.000).

Its formation energy from the elements is 5.745 kcal/mol of atoms.



# ErTh

ErTh after structural relaxation (PBE-GGA, the Alexandria database).

The structure belongs to space group P4/nmm (No. 129, origin choice 2); the cell edges are 3.563, 3.563 and 9.967 Å and the angles 90.00°, 90.00° and 90.00°. The distinct sites, in fractional coordinates, are Er at (0.250, 0.250, 0.127) and Th at (0.250, 0.250, 0.624).

For the energy above the most stable polymorph in this dataset, the calculation gives 25 meV/atom. Its formation energy from the elements is 0.726 kcal/mol of atoms.



# Te2PtAu

Te2PtAu after structural relaxation (PBE-GGA, the Alexandria database).

The structure belongs to space group I-4m2 (No. 119); the cell edges are 3.911, 3.911 and 12.732 Å and the angles 90.00°, 90.00° and 90.00°. The distinct sites, in fractional coordinates, are Te at (0.000, 0.000, 0.000), Te at (0.000, 0.500, 0.250), Pt at (0.000, 0.000, 0.500) and Au at (0.000, 0.500, 0.750).

The calculation puts the uncorrected formation energy at 0.2726 eV per atom.



# LiTl3F

LiTl3F after structural relaxation (PBE-GGA, the Alexandria database).

The structure belongs to space group Pm-3m (No. 221); the cell edges are 5.155, 5.155 and 5.155 Å and the angles 90.00°, 90.00° and 90.00°. The distinct sites, in fractional coordinates, are Li at (0.000, 0.000, 0.000), Tl at (0.000, 0.000, 0.500) and F at (0.500, 0.500, 0.500).

For the energy above the most stable polymorph in this dataset, the calculation gives 243 meV/atom. The calculation puts the uncorrected formation energy at -0.3182 eV per atom.



# TaPWI2

TaPWI2 after structural relaxation (PBE-GGA, the Alexandria database).

The structure belongs to space group P4/mmm (No. 123); the cell edges are 5.389, 5.389 and 5.079 Å and the angles 90.00°, 90.00° and 90.00°. The distinct sites, in fractional coordinates, are Ta at (0.000, 0.000, 0.000), P at (0.500, 0.500, 0.500), W at (0.000, 0.000, 0.500) and I at (0.000, 0.500, 0.000).

The calculation puts the uncorrected formation energy at 1.8441 eV per atom.



# PmHBr

PmHBr after structural relaxation (PBE-GGA, the Alexandria database).

The structure belongs to space group P3m1 (No. 156); the cell edges are 3.8398, 3.8398 and 5.1429 Å and the angles 90.00°, 90.00° and 120.00°. The distinct sites, in fractional coordinates, are Pm at (0.0000, 0.0000, 0.0000), H at (0.3333, 0.6667, 0.8897) and Br at (0.6667, 0.3333, 0.3912).

For the energy above the most stable polymorph in this dataset, the calculation gives 286 meV/atom.



# NaAl2SnO

NaAl2SnO after structural relaxation (PBE-GGA, the Alexandria database).

The structure belongs to space group P4/mmm (No. 123); the cell edges are 5.546, 5.546 and 4.199 Å and the angles 90.00°, 90.00° and 90.00°. The distinct sites, in fractional coordinates, are Na at (0.000, 0.000, 0.000), Al at (0.000, 0.500, 0.500), Sn at (0.500, 0.500, 0.500) and O at (0.500, 0.500, 0.000).

The calculation puts the uncorrected formation energy at 0.2084 eV per atom.



# MnNi2HAu

MnNi2HAu after structural relaxation (PBE-GGA, the Alexandria database).

The structure belongs to space group P4/mmm (No. 123); the cell edges are 3.787, 3.787 and 3.857 Å and the angles 90.00°, 90.00° and 90.00°. The distinct sites, in fractional coordinates, are Mn at (0.000, 0.000, 0.000), Ni at (0.000, 0.500, 0.500), H at (0.000, 0.000, 0.500) and Au at (0.500, 0.500, 0.000).

For the energy above the most stable polymorph in this dataset, the calculation gives 0 meV/atom.



# PmSc2Zn6

PmSc2Zn6 after structural relaxation (PBE-GGA, the Alexandria database).

The structure belongs to space group P6/mmm (No. 191); the cell edges are 7.7083, 7.7083 and 3.2933 Å and the angles 90.00°, 90.00° and 120.00°. The distinct sites, in fractional coordinates, are Pm at (0.0000, 0.0000, 0.0000), Sc at (0.3333, 0.6667, 0.0000) and Zn at (0.0000, 0.3402, 0.5000).

Its formation energy from the elements is -7.671 kcal/mol of atoms.



# CdHg2

CdHg2 after structural relaxation (PBE-GGA, the Alexandria database).

The structure belongs to space group Pnnm (No. 58); the cell edges are 4.434, 9.327 and 3.617 Å and the angles 90.00°, 90.00° and 90.00°. The distinct sites, in fractional coordinates, are Cd at (0.000, 0.000, 0.000) and Hg at (0.046, 0.333, 0.000).

For the energy above the most stable polymorph in this dataset, the calculation gives 6 meV/atom. Its formation energy from the elements is 0.528 kcal/mol of atoms.



# Ca5Fe2N6

Ca5Fe2N6 after structural relaxation (PBE-GGA, the Alexandria database).

The structure belongs to space group Pbam (No. 55); the cell edges are 9.549, 11.317 and 3.316 Å and the angles 90.00°, 90.00° and 90.00°. The distinct sites, in fractional coordinates, are Ca at (0.000, 0.000, 0.000), Ca at (0.064, 0.249, 0.000), Ca at (0.168, 0.511, 0.000), Fe at (0.187, 0.721, 0.500), N at (0.035, 0.626, 0.500), N at (0.162, 0.106, 0.500) and N at (0.189, 0.795, 0.000).

The calculation puts the uncorrected formation energy at -0.5210 eV per atom.



# Dy5GaBi4

Dy5GaBi4 after structural relaxation (PBE-GGA, the Alexandria database).

The structure belongs to space group I4/m (No. 87); the cell edges are 9.887, 9.887 and 6.256 Å and the angles 90.00°, 90.00° and 90.00°. The distinct sites, in fractional coordinates, are Dy at (0.000, 0.000, 0.000), Dy at (0.100, 0.709, 0.500), Ga at (0.000, 0.000, 0.500) and Bi at (0.095, 0.698, 0.000).

Its formation energy from the elements is -16.231 kcal/mol of atoms.



no.,D(E_F) (states/eV per atom),magnetic moment (μB/atom)
1,0.37,0.00
2,1.75,0.00
3,0.83,0.00
4,0.56,0.00
5,1.40,0.43
6,0.57,0.11
7,0.58,0.00
8,0.33,0.95
9,0.61,0.00
10,0.22,0.00
11,0.56,0.20
12,0.65,0.00